This record from Alexandria describes SrLa2Ta after structural relaxation. The functional is PBE. Values from VASP.

The structure in Quantum ESPRESSO input format:
```
&SYSTEM
  ibrav = 0, nat = 4, ntyp = 3
/
ATOMIC_SPECIES
La 138.91 La.upf
Sr 87.62 Sr.upf
Ta 180.95 Ta.upf
CELL_PARAMETERS angstrom
-3.2623 -3.9787 0.5740
2.7744 -1.6935 4.0294
-2.6132 2.5573 2.8741
ATOMIC_POSITIONS crystal
La 0.0000 0.0000 0.0000
La 0.5000 0.5000 0.0000
Sr 0.5000 0.0000 0.5000
Ta 0.0000 0.5000 0.5000
```

## Properties
- Energy of formation: 0.6600 eV/atom
- Excess energy over the best structure of this formula in the dataset: 270 meV/atom
- Calculated total energy: -20.75 eV per cell